1.
HfTiPd GGA-PBE relaxed; space-group type = P4/nmm (129); formation energy from the elements = -136 kJ/mol of formula units; ρ = 10.32 g/cm3; crystal system = tetragonal; spin magnetization = 0.00 μB per formula unit; ΔE to the lowest computed polymorph = 2.0 meV per atom
1.0
-0.3040 -0.7455 3.0966
-1.1299 -2.8831 -0.8050
9.7382 -3.8262 0.0348
Pd Ti Hf
2 2 2
Direct
0.0000 0.5000 0.2716
0.5000 0.0000 0.7284
0.0000 0.5000 0.5797
0.5000 0.0000 0.4203
0.0000 0.5000 0.9014
0.5000 0.0000 0.0986

2.
Hf2TiPd3 GGA-PBE relaxed; space-group type = P2/m (10); formation energy from the elements = -333 kJ/mol of formula units; ρ = 11.39 g/cm3; crystal system = monoclinic; spin magnetization = 0.00 μB per formula unit
1.0
-3.2244 -3.1147 0.4535
4.7157 -4.7289 1.0488
-1.0219 5.1580 6.0635
Hf Ti Pd
4 2 6
Direct
0.6673 0.6674 0.3347
0.6673 0.1674 0.3347
0.3327 0.8326 0.6653
0.3327 0.3326 0.6653
0.0000 0.0000 0.0000
0.0000 0.5000 0.0000
0.8502 0.1001 0.7003
0.8502 0.6002 0.7003
0.1498 0.3998 0.2997
0.1498 0.8999 0.2997
0.5000 0.7500 0.0000
0.5000 0.2500 0.0000

3.
HfTi2Pd2 GGA-PBE relaxed; space-group type = P4/mbm (127); formation energy from the elements = -156 kJ/mol of formula units; ρ = 9.47 g/cm3; crystal system = tetragonal; spin magnetization = 0.00 μB per formula unit; ΔE to the lowest computed polymorph = 198.0 meV per atom
1.0
7.6802 0.0000 0.0000
0.0000 7.6802 0.0000
0.0000 0.0000 2.8949
Ti Pd Hf
4 4 2
Direct
0.3456 0.8456 0.0000
0.8456 0.6544 0.0000
0.6544 0.1544 0.0000
0.1544 0.3456 0.0000
0.8568 0.3568 0.5000
0.1432 0.6432 0.5000
0.6432 0.8568 0.5000
0.3568 0.1432 0.5000
0.5000 0.5000 0.0000
0.0000 0.0000 0.0000

4.
HfTiPd GGA-PBE relaxed; space-group type = Pm (6); formation energy from the elements = -80 kJ/mol of formula units; ρ = 10.13 g/cm3; crystal system = monoclinic; spin magnetization = 0.00 μB per formula unit; ΔE to the lowest computed polymorph = 197.6 meV per atom
1.0
-1.7414 0.4177 -2.5320
-3.3045 -3.7183 1.6593
-9.3995 6.8044 7.5872
Ti Hf Pd
4 4 4
Direct
0.5000 0.0441 0.1633
0.5000 0.9651 0.8359
0.0000 0.4478 0.8355
0.0000 0.2244 0.6722
0.5000 0.2684 0.3363
0.0000 0.5468 0.1537
0.0000 0.7667 0.3380
0.5000 0.7285 0.6665
0.0000 0.0031 0.5036
0.5000 0.5058 0.9891
0.5000 0.4850 0.5082
0.0000 0.0143 0.9978

5.
Hf2TiPd GGA-PBE relaxed; space-group type = P4/mmm (123); formation energy from the elements = -135 kJ/mol of formula units; ρ = 11.28 g/cm3; crystal system = tetragonal; spin magnetization = 0.00 μB per formula unit
1.0
3.2732 0.0000 0.0000
0.0000 3.2732 0.0000
0.0000 0.0000 7.0280
Ti Pd Hf
1 1 2
Direct
0.5000 0.5000 0.5000
0.5000 0.5000 0.0000
0.0000 0.0000 0.7553
0.0000 0.0000 0.2447

6.
HfTi2Pd2 GGA-PBE relaxed; space-group type = P4/mbm (127); formation energy from the elements = -195 kJ/mol of formula units; ρ = 9.30 g/cm3; crystal system = tetragonal; spin magnetization = 0.00 μB per formula unit; ΔE to the lowest computed polymorph = 115.4 meV per atom
1.0
-3.1281 6.6972 -1.2460
-2.6198 0.0829 7.0228
2.5963 1.3898 0.9521
Ti Pd Hf
4 4 2
Direct
0.6683 0.8317 0.5000
0.8317 0.3317 0.5000
0.3317 0.1683 0.5000
0.1683 0.6683 0.5000
0.6296 0.1296 0.0000
0.8704 0.6296 0.0000
0.3704 0.8704 0.0000
0.1296 0.3704 0.0000
0.5000 0.5000 0.0000
0.0000 0.0000 0.0000

7.
HfTiPd GGA-PBE relaxed; space-group type = C2 (5); formation energy from the elements = -100 kJ/mol of formula units; ρ = 10.32 g/cm3; crystal system = monoclinic; spin magnetization = 0.00 μB per formula unit; ΔE to the lowest computed polymorph = 128.7 meV per atom
1.0
-1.6557 -4.0376 2.5593
7.0056 -4.4049 -2.4171
3.0814 3.3060 2.9060
Hf Ti Pd
4 4 4
Direct
0.0000 0.1066 0.5000
0.5000 0.8336 0.0000
0.0000 0.6066 0.0000
0.5000 0.3336 0.5000
0.0000 0.9558 0.0000
0.5000 0.6725 0.5000
0.5000 0.1725 0.0000
0.0000 0.4558 0.5000
0.0000 0.7869 0.5000
0.5000 0.4833 0.0000
0.5000 0.9833 0.5000
0.0000 0.2869 0.0000

8.
Hf2TiPd2 GGA-PBE relaxed; space-group type = P4/mbm (127); formation energy from the elements = -216 kJ/mol of formula units; ρ = 10.93 g/cm3; crystal system = tetragonal; spin magnetization = 0.00 μB per formula unit; ΔE to the lowest computed polymorph = 0.0 meV per atom
1.0
7.5693 0.0000 0.0000
0.0000 7.5693 0.0000
0.0000 0.0000 3.2750
Ti Pd Hf
2 4 4
Direct
0.0000 0.0000 0.0000
0.5000 0.5000 0.0000
0.6294 0.1294 0.0000
0.1294 0.3706 0.0000
0.3706 0.8706 0.0000
0.8706 0.6294 0.0000
0.3286 0.1714 0.5000
0.8286 0.3286 0.5000
0.6714 0.8286 0.5000
0.1714 0.6714 0.5000

9.
Hf2Ti2Pd GGA-PBE relaxed; space-group type = C2/c (15); formation energy from the elements = -51 kJ/mol of formula units; ρ = 9.59 g/cm3; crystal system = monoclinic; spin magnetization = 0.00 μB per formula unit; ΔE to the lowest computed polymorph = 0.0 meV per atom
1.0
-6.2532 1.9269 1.1912
-3.2659 -9.0973 -2.4286
4.5298 1.3487 3.0306
Pd Hf Ti
2 4 4
Direct
0.3260 0.2500 0.0000
0.6740 0.7500 0.0000
0.8476 0.1856 0.3277
0.1524 0.8144 0.6723
0.4800 0.6856 0.3277
0.5200 0.3144 0.6723
0.1376 0.4493 0.3627
0.8624 0.5507 0.6373
0.2250 0.9493 0.3627
0.7750 0.0507 0.6373

10.
HfTi3Pd6 GGA-PBE relaxed; space-group type = P2_1/m (11); formation energy from the elements = -590 kJ/mol of formula units; ρ = 9.98 g/cm3; crystal system = monoclinic; spin magnetization = 1.39 μB per formula unit; ΔE to the lowest computed polymorph = 0.0 meV per atom
1.0
4.0035 0.0000 0.0000
0.0000 8.8171 -0.2277
0.0000 -0.0091 9.0574
Pd Ti Hf
12 6 2
Direct
0.7500 0.3663 0.3026
0.7500 0.5403 0.9020
0.2500 0.2467 0.5029
0.7500 0.1491 0.7012
0.2500 0.0586 0.9050
0.2500 0.6337 0.6974
0.2500 0.1592 0.1972
0.2500 0.4597 0.0980
0.7500 0.8408 0.8028
0.7500 0.7533 0.4971
0.2500 0.8509 0.2988
0.7500 0.9414 0.0950
0.7500 0.2496 0.0116
0.7500 0.4469 0.6020
0.2500 0.5531 0.3980
0.2500 0.3465 0.7994
0.7500 0.6535 0.2006
0.2500 0.7504 0.9884
0.2500 0.9374 0.6239
0.7500 0.0626 0.3761

11.
Hf2Ti2Pd GGA-PBE relaxed; space-group type = P4/mbm (127); formation energy from the elements = -46 kJ/mol of formula units; ρ = 9.61 g/cm3; crystal system = tetragonal; spin magnetization = 0.00 μB per formula unit; ΔE to the lowest computed polymorph = 10.6 meV per atom
1.0
6.6345 0.0000 0.0000
0.0000 6.6345 0.0000
0.0000 0.0000 4.3890
Hf Ti Pd
4 4 2
Direct
0.6582 0.8418 0.5000
0.3418 0.1582 0.5000
0.1582 0.6582 0.5000
0.8418 0.3418 0.5000
0.3577 0.8577 0.0000
0.1423 0.3577 0.0000
0.6423 0.1423 0.0000
0.8577 0.6423 0.0000
0.0000 0.0000 0.0000
0.5000 0.5000 0.0000

12.
Hf2TiPd GGA-PBE relaxed; space-group type = R3m (160); formation energy from the elements = -76 kJ/mol of formula units; ρ = 11.03 g/cm3; crystal system = trigonal; spin magnetization = 0.00 μB per formula unit
1.0
-2.3240 -2.0619 0.0088
0.3666 -2.7597 -1.3790
2.5063 -5.1336 7.4403
Hf Ti Pd
2 1 1
Direct
0.0812 0.0812 0.7563
0.2518 0.2518 0.2445
0.4995 0.4995 0.5014
0.6674 0.6674 0.9978

13.
HfTi5Pd6 GGA-PBE relaxed; space-group type = Cmmm (65); formation energy from the elements = -620 kJ/mol of formula units; ρ = 9.10 g/cm3; crystal system = orthorhombic; spin magnetization = 2.58 μB per formula unit
1.0
4.0722 0.0000 0.0131
2.0361 6.1300 0.0066
-0.0249 0.0000 7.7187
Ti Pd Hf
5 6 1
Direct
0.0000 0.0000 0.5000
0.6662 0.6677 0.5000
0.3249 0.3501 0.0000
0.3338 0.3323 0.5000
0.6751 0.6499 0.0000
0.5000 0.0000 0.7468
0.5000 0.0000 0.2532
0.8327 0.3347 0.7447
0.1674 0.6653 0.7447
0.8326 0.3347 0.2553
0.1673 0.6653 0.2553
0.0000 0.0000 0.0000

14.
HfTi3Pd12 GGA-PBE relaxed; space-group type = P4/mmm (123); formation energy from the elements = -1061 kJ/mol of formula units; ρ = 10.78 g/cm3; crystal system = tetragonal; spin magnetization = 0.15 μB per formula unit
1.0
-0.2703 -3.6476 1.4881
3.8640 0.0452 0.8126
-3.0710 6.0477 14.2660
Pd Hf Ti
12 1 3
Direct
0.0000 0.5000 0.8712
0.0000 0.5000 0.3761
0.5000 0.5000 0.2524
0.5000 0.0000 0.3761
0.5000 0.0000 0.8712
0.5000 0.0000 0.1288
0.5000 0.5000 0.7476
0.5000 0.5000 0.0000
0.0000 0.5000 0.6239
0.5000 0.0000 0.6239
0.5000 0.5000 0.5000
0.0000 0.5000 0.1288
0.0000 0.0000 0.0000
0.0000 0.0000 0.5000
0.0000 0.0000 0.2535
0.0000 0.0000 0.7465

15.
Hf2TiPd GGA-PBE relaxed; space-group type = I-42d (122); formation energy from the elements = 46 kJ/mol of formula units; ρ = 10.39 g/cm3; crystal system = tetragonal; spin magnetization = 0.00 μB per formula unit
1.0
-2.4234 7.0479 1.2322
-6.7200 -2.6887 2.1623
-3.6411 2.0271 4.4000
Ti Hf Pd
2 4 2
Direct
0.2500 0.7500 0.5000
0.5000 0.5000 0.0000
0.8750 0.9064 0.7500
0.6564 0.1250 0.2500
0.0936 0.6250 0.2500
0.3750 0.3436 0.7500
0.0000 0.0000 0.0000
0.7500 0.2500 0.5000

16.
HfTiVPd GGA-PBE relaxed; space-group type = F-43m (216); formation energy from the elements = -76 kJ/mol of formula units; ρ = 9.53 g/cm3; crystal system = cubic; spin magnetization = 1.11 μB per formula unit
1.0
4.5555 0.0000 0.0000
2.2778 3.9452 0.0000
2.2778 1.3151 3.7196
Hf Ti V Pd
1 1 1 1
Direct
0.7500 0.7500 0.7500
0.2500 0.2500 0.2500
0.5000 0.5000 0.5000
0.0000 0.0000 0.0000

17.
HfTiPdW GGA-PBE relaxed; space-group type = F-43m (216); formation energy from the elements = -106 kJ/mol of formula units; ρ = 12.64 g/cm3; crystal system = cubic; spin magnetization = 0.00 μB per formula unit
1.0
4.5786 0.0000 0.0000
2.2893 3.9652 0.0000
2.2893 1.3217 3.7384
W Pd Hf Ti
1 1 1 1
Direct
0.5000 0.5000 0.5000
0.0000 0.0000 0.0000
0.7500 0.7500 0.7500
0.2500 0.2500 0.2500

18.
HfTi2Zn2Pd2 GGA-PBE relaxed; space-group type = C2/m (12); formation energy from the elements = -218 kJ/mol of formula units; ρ = 8.86 g/cm3; crystal system = monoclinic; spin magnetization = 0.00 μB per formula unit
1.0
4.4275 0.0000 0.0000
-2.2137 3.8171 -0.3417
0.0000 -1.9255 7.0224
Zn Pd Ti Hf
2 2 2 1
Direct
0.1428 0.2855 0.4288
0.8572 0.7145 0.5712
0.7295 0.4591 0.1890
0.2705 0.5409 0.8110
0.5738 0.1477 0.7221
0.4262 0.8523 0.2779
0.0000 0.0000 0.0000

19.
HfZrTiPd GGA-PBE relaxed; space-group type = F-43m (216); formation energy from the elements = -73 kJ/mol of formula units; ρ = 9.25 g/cm3; crystal system = cubic; spin magnetization = 1.86 μB per formula unit
1.0
-3.2731 2.0925 2.7454
-4.6244 -0.7798 -0.7975
-2.5389 -2.5960 3.0730
Zr Ti Hf Pd
1 1 1 1
Direct
0.0000 0.0000 0.0000
0.2500 0.2500 0.2500
0.5000 0.5000 0.5000
0.7500 0.7500 0.7500

20.
Hf2TlPd GGA-PBE relaxed; space-group type = Fm-3m (225); formation energy from the elements = -48 kJ/mol of formula units; ρ = 13.60 g/cm3; crystal system = cubic; spin magnetization = 0.89 μB per formula unit; ΔE to the lowest computed polymorph = 112.0 meV per atom
1.0
0.0000 3.4419 3.4419
3.4419 0.0000 3.4419
3.4419 3.4419 0.0000
Pd Tl Hf
1 1 2
Direct
0.0000 0.0000 0.0000
0.5000 0.5000 0.5000
0.7500 0.7500 0.7500
0.2500 0.2500 0.2500

21.
Hf2Tl4Pd GGA-PBE relaxed; space-group type = I4/mmm (139); formation energy from the elements = 296 kJ/mol of formula units; ρ = 10.49 g/cm3; crystal system = tetragonal; spin magnetization = 0.00 μB per formula unit
1.0
5.3692 0.0000 0.0000
0.0000 5.3692 0.0000
2.6846 2.6846 7.0363
Tl Pd Hf
4 1 2
Direct
0.0000 0.5000 0.0000
0.8044 0.8044 0.3911
0.1956 0.1956 0.6089
0.5000 0.0000 0.0000
0.0000 0.0000 0.0000
0.5962 0.5962 0.8077
0.4038 0.4038 0.1923

22.
HfTlPd6 GGA-PBE relaxed; space-group type = P4/mmm (123); formation energy from the elements = -448 kJ/mol of formula units; ρ = 12.75 g/cm3; crystal system = tetragonal; spin magnetization = 0.00 μB per formula unit
1.0
-2.7500 1.4619 -2.5855
0.4789 -3.2592 -2.3522
-5.8773 -3.8174 4.0927
Pd Hf Tl
6 1 1
Direct
0.5000 0.0000 0.7402
0.0000 0.5000 0.2598
0.5000 0.5000 0.0000
0.5000 0.0000 0.2598
0.5000 0.5000 0.5000
0.0000 0.5000 0.7402
0.0000 0.0000 0.5000
0.0000 0.0000 0.0000

23.
HfTl3Pd12 GGA-PBE relaxed; space-group type = P4/mmm (123); formation energy from the elements = -587 kJ/mol of formula units; ρ = 12.75 g/cm3; crystal system = tetragonal; spin magnetization = 0.00 μB per formula unit
1.0
4.0547 0.0000 0.0000
0.0000 4.0547 0.0000
0.0000 0.0000 16.3856
Pd Tl Hf
12 3 1
Direct
0.5000 0.0000 0.1186
0.0000 0.5000 0.6263
0.5000 0.5000 0.5000
0.0000 0.5000 0.3737
0.5000 0.0000 0.6263
0.5000 0.5000 0.7548
0.5000 0.0000 0.8814
0.0000 0.5000 0.1186
0.5000 0.0000 0.3737
0.0000 0.5000 0.8814
0.5000 0.5000 0.0000
0.5000 0.5000 0.2452
0.0000 0.0000 0.5000
0.0000 0.0000 0.2492
0.0000 0.0000 0.7508
0.0000 0.0000 0.0000